1.
The following is a SCAN calculation of YMo2Ir at its PBEsol-relaxed geometry, from Alexandria.

Output
For the energy above the lowest structure with this stoichiometry, the calculation gives 0.119 eV/atom. For the magnetization, the calculation gives 0.000 μB per formula unit.

CIF file:
```
data_YMo2Ir
_chemical_formula_sum 'Y1 Mo2 Ir1'
_space_group_name_H-M_alt 'P 1'
_space_group_IT_number 1
_cell_length_a 2.8183
_cell_length_b 5.2362
_cell_length_c 5.3719
_cell_angle_alpha 115.61
_cell_angle_beta 99.20
_cell_angle_gamma 102.13
loop_
_space_group_symop_operation_xyz
'x,y,z'
loop_
_atom_site_label
_atom_site_type_symbol
_atom_site_fract_x
_atom_site_fract_y
_atom_site_fract_z
_atom_site_occupancy
Ir1 Ir 0.0000 0.5000 0.0000 1
Mo1 Mo 0.5000 0.5000 0.5000 1
Y1 Y 0.5000 0.0000 0.0000 1
Mo2 Mo 0.0000 0.0000 0.5000 1
```

2.
The following is a SCAN calculation of YMoIr at its PBEsol-relaxed geometry, from Alexandria.

Output
For the energy above the lowest structure with this stoichiometry, the calculation gives 0.000 eV/atom. For the magnetization, the calculation gives 0.000 μB per formula unit.

CIF file:
```
data_YMoIr
_chemical_formula_sum 'Y1 Mo1 Ir1'
_space_group_name_H-M_alt 'P 1'
_space_group_IT_number 1
_cell_length_a 4.1664
_cell_length_b 4.1664
_cell_length_c 4.2499
_cell_angle_alpha 90.00
_cell_angle_beta 90.00
_cell_angle_gamma 120.00
loop_
_space_group_symop_operation_xyz
'x,y,z'
loop_
_atom_site_label
_atom_site_type_symbol
_atom_site_fract_x
_atom_site_fract_y
_atom_site_fract_z
_atom_site_occupancy
Y1 Y 0.6667 0.3333 0.3294 1
Ir1 Ir 0.0000 0.0000 0.8572 1
Mo1 Mo 0.3333 0.6667 0.8134 1
```

3.
The following is a SCAN calculation of Y2MoIr at its PBEsol-relaxed geometry, from Alexandria.

Output
For the magnetization, the calculation gives 0.000 μB per formula unit.

CIF file:
```
data_Y2MoIr
_chemical_formula_sum 'Y2 Mo1 Ir1'
_space_group_name_H-M_alt 'P 1'
_space_group_IT_number 1
_cell_length_a 4.1153
_cell_length_b 4.3031
_cell_length_c 5.6116
_cell_angle_alpha 112.55
_cell_angle_beta 90.00
_cell_angle_gamma 90.00
loop_
_space_group_symop_operation_xyz
'x,y,z'
loop_
_atom_site_label
_atom_site_type_symbol
_atom_site_fract_x
_atom_site_fract_y
_atom_site_fract_z
_atom_site_occupancy
Y1 Y 0.0000 0.9742 0.9484 1
Y2 Y 0.5000 0.2719 0.5438 1
Mo1 Mo 0.5000 0.5668 0.1336 1
Ir1 Ir 0.0000 0.6860 0.3721 1
```

4.
The following is a SCAN calculation of YMo2Ir at its PBEsol-relaxed geometry, from Alexandria.

Output
For the energy above the lowest structure with this stoichiometry, the calculation gives 0.232 eV/atom. For the magnetization, the calculation gives 0.000 μB per formula unit.

CIF file:
```
data_YMo2Ir
_chemical_formula_sum 'Y1 Mo2 Ir1'
_space_group_name_H-M_alt 'P 1'
_space_group_IT_number 1
_cell_length_a 4.5323
_cell_length_b 4.5323
_cell_length_c 4.5323
_cell_angle_alpha 60.00
_cell_angle_beta 60.00
_cell_angle_gamma 60.00
loop_
_space_group_symop_operation_xyz
'x,y,z'
loop_
_atom_site_label
_atom_site_type_symbol
_atom_site_fract_x
_atom_site_fract_y
_atom_site_fract_z
_atom_site_occupancy
Y1 Y 0.5000 0.5000 0.5000 1
Mo1 Mo 0.7500 0.7500 0.7500 1
Ir1 Ir 0.0000 0.0000 0.0000 1
Mo2 Mo 0.2500 0.2500 0.2500 1
```

5.
The following is a SCAN calculation of YMo2Ir at its PBEsol-relaxed geometry, from Alexandria.

Output
For the energy above the lowest structure with this stoichiometry, the calculation gives 0.000 eV/atom. For the magnetization, the calculation gives 0.000 μB per formula unit.

CIF file:
```
data_YMo2Ir
_chemical_formula_sum 'Y1 Mo2 Ir1'
_space_group_name_H-M_alt 'P 1'
_space_group_IT_number 1
_cell_length_a 3.0192
_cell_length_b 4.7170
_cell_length_c 5.3580
_cell_angle_alpha 105.21
_cell_angle_beta 106.36
_cell_angle_gamma 90.00
loop_
_space_group_symop_operation_xyz
'x,y,z'
loop_
_atom_site_label
_atom_site_type_symbol
_atom_site_fract_x
_atom_site_fract_y
_atom_site_fract_z
_atom_site_occupancy
Mo1 Mo 0.7274 0.7000 0.4548 1
Mo2 Mo 0.2726 0.3000 0.5452 1
Ir1 Ir 0.0000 0.5000 0.0000 1
Y1 Y 0.5000 0.0000 0.0000 1
```

6.
The following is a SCAN calculation of Zn2MoIr at its PBEsol-relaxed geometry, from Alexandria.

Output
For the energy above the lowest structure with this stoichiometry, the calculation gives 0.169 eV/atom. For the magnetization, the calculation gives 0.000 μB per formula unit.

CIF file:
```
data_Zn2MoIr
_chemical_formula_sum 'Zn2 Mo1 Ir1'
_space_group_name_H-M_alt 'P 1'
_space_group_IT_number 1
_cell_length_a 2.7555
_cell_length_b 4.6430
_cell_length_c 4.7219
_cell_angle_alpha 100.51
_cell_angle_beta 90.00
_cell_angle_gamma 107.26
loop_
_space_group_symop_operation_xyz
'x,y,z'
loop_
_atom_site_label
_atom_site_type_symbol
_atom_site_fract_x
_atom_site_fract_y
_atom_site_fract_z
_atom_site_occupancy
Mo1 Mo 0.0000 0.0000 0.5000 1
Zn1 Zn 0.7538 0.5076 0.7561 1
Ir1 Ir 0.5000 0.0000 0.0000 1
Zn2 Zn 0.2462 0.4924 0.2439 1
```

7.
The following is a SCAN calculation of ZnMoIr2 at its PBEsol-relaxed geometry, from Alexandria.

Output
For the magnetization, the calculation gives 0.000 μB per formula unit.

CIF file:
```
data_ZnMoIr2
_chemical_formula_sum 'Zn1 Mo1 Ir2'
_space_group_name_H-M_alt 'P 1'
_space_group_IT_number 1
_cell_length_a 2.8020
_cell_length_b 2.8020
_cell_length_c 7.1557
_cell_angle_alpha 90.00
_cell_angle_beta 90.00
_cell_angle_gamma 90.00
loop_
_space_group_symop_operation_xyz
'x,y,z'
loop_
_atom_site_label
_atom_site_type_symbol
_atom_site_fract_x
_atom_site_fract_y
_atom_site_fract_z
_atom_site_occupancy
Mo1 Mo 0.5000 0.5000 0.0000 1
Ir1 Ir 0.0000 0.0000 0.2533 1
Ir2 Ir 0.0000 0.0000 0.7467 1
Zn1 Zn 0.5000 0.5000 0.5000 1
```

8.
The following is a SCAN calculation of Zn2MoIr at its PBEsol-relaxed geometry, from Alexandria.

Output
For the energy above the lowest structure with this stoichiometry, the calculation gives 0.126 eV/atom. For the magnetization, the calculation gives 0.679 μB per formula unit.

CIF file:
```
data_Zn2MoIr
_chemical_formula_sum 'Zn2 Mo1 Ir1'
_space_group_name_H-M_alt 'P 1'
_space_group_IT_number 1
_cell_length_a 3.9750
_cell_length_b 4.5235
_cell_length_c 3.9750
_cell_angle_alpha 63.94
_cell_angle_beta 90.00
_cell_angle_gamma 116.06
loop_
_space_group_symop_operation_xyz
'x,y,z'
loop_
_atom_site_label
_atom_site_type_symbol
_atom_site_fract_x
_atom_site_fract_y
_atom_site_fract_z
_atom_site_occupancy
Mo1 Mo 0.7500 0.5000 0.7500 1
Zn1 Zn 0.2500 0.5000 0.2500 1
Ir1 Ir 0.5000 0.0000 0.5000 1
Zn2 Zn 0.0000 0.0000 0.0000 1
```

9.
The following is a SCAN calculation of ZnMo2Ir at its PBEsol-relaxed geometry, from Alexandria.

Output
For the magnetization, the calculation gives 0.000 μB per formula unit.

CIF file:
```
data_ZnMo2Ir
_chemical_formula_sum 'Zn1 Mo2 Ir1'
_space_group_name_H-M_alt 'P 1'
_space_group_IT_number 1
_cell_length_a 2.7261
_cell_length_b 4.3929
_cell_length_c 4.8087
_cell_angle_alpha 90.00
_cell_angle_beta 90.04
_cell_angle_gamma 90.00
loop_
_space_group_symop_operation_xyz
'x,y,z'
loop_
_atom_site_label
_atom_site_type_symbol
_atom_site_fract_x
_atom_site_fract_y
_atom_site_fract_z
_atom_site_occupancy
Ir1 Ir 0.3750 0.5000 0.7796 1
Zn1 Zn 0.3749 0.0000 0.4641 1
Mo1 Mo 0.8744 0.5000 0.2886 1
Mo2 Mo 0.8757 0.0000 0.9677 1
```

10.
The following is a SCAN calculation of ZnMoIr2 at its PBEsol-relaxed geometry, from Alexandria.

Output
For the magnetization, the calculation gives 0.000 μB per formula unit.

CIF file:
```
data_ZnMoIr2
_chemical_formula_sum 'Zn1 Mo1 Ir2'
_space_group_name_H-M_alt 'P 1'
_space_group_IT_number 1
_cell_length_a 2.7457
_cell_length_b 2.7457
_cell_length_c 8.8377
_cell_angle_alpha 81.06
_cell_angle_beta 81.06
_cell_angle_gamma 60.00
loop_
_space_group_symop_operation_xyz
'x,y,z'
loop_
_atom_site_label
_atom_site_type_symbol
_atom_site_fract_x
_atom_site_fract_y
_atom_site_fract_z
_atom_site_occupancy
Ir1 Ir 0.2500 0.2500 0.2499 1
Mo1 Mo 0.5000 0.5000 0.5000 1
Ir2 Ir 0.7500 0.7500 0.7501 1
Zn1 Zn 0.0000 0.0000 0.0000 1
```

11.
The following is a SCAN calculation of ZnMo2Ir at its PBEsol-relaxed geometry, from Alexandria.

Output
For the magnetization, the calculation gives 0.000 μB per formula unit.

CIF file:
```
data_ZnMo2Ir
_chemical_formula_sum 'Zn1 Mo2 Ir1'
_space_group_name_H-M_alt 'P 1'
_space_group_IT_number 1
_cell_length_a 3.6722
_cell_length_b 3.6722
_cell_length_c 4.9818
_cell_angle_alpha 111.63
_cell_angle_beta 111.63
_cell_angle_gamma 90.00
loop_
_space_group_symop_operation_xyz
'x,y,z'
loop_
_atom_site_label
_atom_site_type_symbol
_atom_site_fract_x
_atom_site_fract_y
_atom_site_fract_z
_atom_site_occupancy
Zn1 Zn 0.5000 0.5000 0.0000 1
Mo1 Mo 0.7500 0.2500 0.5000 1
Mo2 Mo 0.2500 0.7500 0.5000 1
Ir1 Ir 0.0000 0.0000 0.0000 1
```

12.
The following is a SCAN calculation of ZnMoIr2 at its PBEsol-relaxed geometry, from Alexandria.

Output
For the magnetization, the calculation gives 0.000 μB per formula unit.

CIF file:
```
data_ZnMoIr2
_chemical_formula_sum 'Zn1 Mo1 Ir2'
_space_group_name_H-M_alt 'P 1'
_space_group_IT_number 1
_cell_length_a 2.6846
_cell_length_b 2.6846
_cell_length_c 9.0109
_cell_angle_alpha 90.00
_cell_angle_beta 90.00
_cell_angle_gamma 116.74
loop_
_space_group_symop_operation_xyz
'x,y,z'
loop_
_atom_site_label
_atom_site_type_symbol
_atom_site_fract_x
_atom_site_fract_y
_atom_site_fract_z
_atom_site_occupancy
Zn1 Zn 0.5000 0.5000 0.2450 1
Mo1 Mo 0.0000 0.0000 0.5019 1
Ir1 Ir 0.5000 0.5000 0.7459 1
Ir2 Ir 0.0000 0.0000 0.0072 1
```

13.
The following is a SCAN calculation of ZnMo2Ir at its PBEsol-relaxed geometry, from Alexandria.

Output
For the magnetization, the calculation gives 0.000 μB per formula unit.

CIF file:
```
data_ZnMo2Ir
_chemical_formula_sum 'Zn1 Mo2 Ir1'
_space_group_name_H-M_alt 'P 1'
_space_group_IT_number 1
_cell_length_a 2.7096
_cell_length_b 4.0465
_cell_length_c 5.2265
_cell_angle_alpha 90.00
_cell_angle_beta 90.04
_cell_angle_gamma 90.00
loop_
_space_group_symop_operation_xyz
'x,y,z'
loop_
_atom_site_label
_atom_site_type_symbol
_atom_site_fract_x
_atom_site_fract_y
_atom_site_fract_z
_atom_site_occupancy
Mo1 Mo 0.0002 0.0000 0.7548 1
Ir1 Ir 0.5000 0.5000 0.5000 1
Zn1 Zn 0.5000 0.5000 0.0000 1
Mo2 Mo 0.9998 0.0000 0.2452 1
```

14.
The following is a SCAN calculation of ZnMoIr2 at its PBEsol-relaxed geometry, from Alexandria.

Output
For the magnetization, the calculation gives 0.000 μB per formula unit.

CIF file:
```
data_ZnMoIr2
_chemical_formula_sum 'Zn1 Mo1 Ir2'
_space_group_name_H-M_alt 'P 1'
_space_group_IT_number 1
_cell_length_a 2.7272
_cell_length_b 2.7272
_cell_length_c 7.6146
_cell_angle_alpha 90.00
_cell_angle_beta 90.00
_cell_angle_gamma 90.00
loop_
_space_group_symop_operation_xyz
'x,y,z'
loop_
_atom_site_label
_atom_site_type_symbol
_atom_site_fract_x
_atom_site_fract_y
_atom_site_fract_z
_atom_site_occupancy
Ir1 Ir 0.0000 0.0000 0.9948 1
Ir2 Ir 0.5000 0.5000 0.2471 1
Mo1 Mo 0.0000 0.0000 0.4986 1
Zn1 Zn 0.5000 0.5000 0.7595 1
```

15.
The following is a SCAN calculation of ZnMoIr2 at its PBEsol-relaxed geometry, from Alexandria.

Output
For the magnetization, the calculation gives 0.000 μB per formula unit.

CIF file:
```
data_ZnMoIr2
_chemical_formula_sum 'Zn1 Mo1 Ir2'
_space_group_name_H-M_alt 'P 1'
_space_group_IT_number 1
_cell_length_a 2.7729
_cell_length_b 3.6984
_cell_length_c 5.5063
_cell_angle_alpha 90.00
_cell_angle_beta 90.00
_cell_angle_gamma 90.00
loop_
_space_group_symop_operation_xyz
'x,y,z'
loop_
_atom_site_label
_atom_site_type_symbol
_atom_site_fract_x
_atom_site_fract_y
_atom_site_fract_z
_atom_site_occupancy
Zn1 Zn 0.5000 0.5000 0.5000 1
Ir1 Ir 0.0000 0.0000 0.7484 1
Ir2 Ir 0.0000 0.0000 0.2516 1
Mo1 Mo 0.5000 0.5000 0.0000 1
```

16.
The following is a SCAN calculation of ZnMo2Ir at its PBEsol-relaxed geometry, from Alexandria.

Output
For the magnetization, the calculation gives 0.000 μB per formula unit.

CIF file:
```
data_ZnMo2Ir
_chemical_formula_sum 'Zn1 Mo2 Ir1'
_space_group_name_H-M_alt 'P 1'
_space_group_IT_number 1
_cell_length_a 3.7616
_cell_length_b 3.7606
_cell_length_c 4.0664
_cell_angle_alpha 90.00
_cell_angle_beta 90.00
_cell_angle_gamma 90.00
loop_
_space_group_symop_operation_xyz
'x,y,z'
loop_
_atom_site_label
_atom_site_type_symbol
_atom_site_fract_x
_atom_site_fract_y
_atom_site_fract_z
_atom_site_occupancy
Zn1 Zn 0.5000 0.0000 0.5000 1
Mo1 Mo 0.5000 0.5000 0.0000 1
Ir1 Ir 0.0000 0.5000 0.5000 1
Mo2 Mo 0.0000 0.0000 0.0000 1
```

Going through the records in order, we get V values of 67.0 63.9 91.8 65.8 70.4 56.6 56.2 56.0 57.6 56.8 57.3 58.0 57.3 56.6 56.5 57.5 Å³/cell.
Going through the records in order, we get ΔH_f (0 K) values of 154 -307 -300 268 36 -30 -355 -73 -137 -205 -69 160 -160 -35 -278 -15 meV/atom.